Below is NbSn3H after structural relaxation, with properties calculated at the PBE-GGA level.

abc: 5.382 5.382 5.382
angles: 90.00 90.00 90.00
Site moments in Bohr magnetons follow the coordinates.
Sites, in units of the cell vectors:
1 Sn 0.000 0.000 0.500  0.00
2 H 0.500 0.500 0.500  0.34
3 Sn 0.000 0.500 0.000  0.00
4 Sn 0.500 0.000 0.000  0.01
5 Nb 0.000 0.000 0.000  0.15

Values from the calculation:
- Fermi-level density of states: 0.478 states/eV per atom
- ΔE to the lowest computed polymorph: 1.07 eV per formula unit
- Total magnetic moment: 1.03 Bohr magnetons per cell
- Total energy: -4.410 eV per atom

***

Below is HoMg2Au after structural relaxation, with properties calculated at the PBE-GGA level.

abc: 4.901 4.901 4.901
angles: 60.00 60.00 60.00
Sites, in units of the cell vectors:
1 Mg 0.750 0.750 0.750
2 Mg 0.250 0.250 0.250
3 Ho 0.000 0.000 0.000
4 Au 0.500 0.500 0.500

Values from the calculation:
- Fermi-level density of states: 0.431 states/eV per atom
- Total magnetic moment: 0.00 Bohr magnetons per cell
- Total energy: -3.055 eV per atom
- Formation energy: -294 meV/atom